[1]
Density functional theory data (PBE) for a relaxed structure of HAu.

The structure in POSCAR format:
```
HAu
1.0
-0.222 -1.887 1.990
0.896 -2.046 -1.840
2.980 0.736 0.633
H Au
1 1
direct
0.500 0.500 0.000
0.000 0.000 0.000
```

Energy   -3.029 eV/atom
Magnetization   0.00 μB per cell
Space-group type   P2/m, No. 10


[2]
Density functional theory data (PBE) for a relaxed structure of AgRuRh2.

The structure in POSCAR format:
```
AgRuRh2
1.0
-0.067 -2.563 0.905
2.295 0.937 -1.116
2.931 2.916 8.475
Ag Rh Ru
1 2 1
direct
0.500 0.500 0.750
0.000 0.000 0.013
0.000 0.000 0.487
0.500 0.500 0.250
```

Energy relative to the elements   30.8 kJ/mol of atoms
Magnetization   0.91 μB per cell
Space-group type   Cmmm, No. 65


[3]
Density functional theory data (PBE) for a relaxed structure of Sc5SnRu6.

The structure in POSCAR format:
```
Sc5SnRu6
1.0
4.434 0.002 -0.930
-0.003 6.461 -0.001
-0.834 0.000 7.107
Sc Ru Sn
5 6 1
direct
0.665 0.500 0.331
0.335 0.000 0.669
0.000 0.500 0.000
0.665 0.000 0.331
0.335 0.500 0.669
0.833 0.750 0.666
0.833 0.250 0.666
0.500 0.252 0.000
0.500 0.748 0.000
0.167 0.750 0.334
0.167 0.250 0.334
0.000 0.000 0.000
```

Energy relative to the elements   -50.7 kJ/mol of atoms
Magnetization   0.00 μB per cell
Space-group type   P2/m, No. 10


[4]
Density functional theory data (PBE) for a relaxed structure of La4Pm5Sn2.

The structure in POSCAR format:
```
La4Pm5Sn2
1.0
-3.438 3.930 1.037
-4.605 -1.069 2.449
4.315 3.329 15.352
La Pm Sn
4 5 2
direct
0.727 0.727 0.820
0.574 0.574 0.277
0.426 0.426 0.723
0.273 0.273 0.180
0.805 0.805 0.586
0.649 0.649 0.054
0.500 0.500 0.500
0.351 0.351 0.946
0.195 0.195 0.414
0.123 0.123 0.631
0.877 0.877 0.369
```

Energy relative to the elements   3.8 kJ/mol of atoms
Magnetization   1.12 μB per cell
Space-group type   R-3m, No. 166


[5]
Density functional theory data (PBE) for a relaxed structure of Mn2RhSe.

The structure in POSCAR format:
```
Mn2RhSe
1.0
-4.605 6.251 -2.402
-6.026 5.453 0.002
-3.728 7.219 0.192
Mn Rh Se
2 1 1
direct
0.003 0.003 0.003
0.252 0.252 0.252
0.505 0.505 0.505
0.740 0.740 0.740
```

Energy   -7.105 eV/atom
Magnetization   4.45 μB per cell
Space-group type   R3m, No. 160


[6]
Density functional theory data (PBE) for a relaxed structure of Sr2CaTi.

The structure in POSCAR format:
```
Sr2CaTi
1.0
0.000 4.290 4.290
4.290 0.000 4.290
4.290 4.290 0.000
Sr Ca Ti
2 1 1
direct
0.250 0.250 0.250
0.750 0.750 0.750
0.000 0.000 0.000
0.500 0.500 0.500
```

Energy relative to the elements   52.2 kJ/mol of atoms
Magnetization   2.53 μB per cell
Space-group type   Fm-3m, No. 225


[7]
Density functional theory data (PBE) for a relaxed structure of NaCa2Tb.

The structure in POSCAR format:
```
NaCa2Tb
1.0
-0.762 2.809 2.148
-2.379 2.504 -1.074
-10.982 -5.245 6.007
Na Ca Tb
1 2 1
direct
0.500 0.500 0.500
0.086 0.086 0.742
0.914 0.914 0.258
0.000 0.000 0.000
```

Energy relative to the elements   25.2 kJ/mol of atoms
Magnetization   0.44 μB per cell
Space-group type   R-3m, No. 166


[8]
Density functional theory data (PBE) for a relaxed structure of CaReAs2Br.

The structure in POSCAR format:
```
CaReAs2Br
1.0
5.371 0.000 0.000
0.000 5.371 0.000
0.000 0.000 5.119
Re As Ca Br
1 2 1 1
direct
0.500 0.500 0.500
0.000 0.500 0.000
0.500 0.000 0.000
0.000 0.000 0.000
0.000 0.000 0.500
```

Energy   -3.423 eV/atom
Magnetization   0.19 μB per cell
Space-group type   P4/mmm, No. 123